No. 1
The following is a PBE-GGA calculation of La2Pr2CoAg2 after structural relaxation, from the Alexandria database.

## Properties
space-group type: C2/m (12)
DFT formation energy: -0.1182 eV per atom
volume: 204.2 Å³/cell

Cell lengths 4.621, 6.829, 7.692 Å; angles 63.32, 72.50, 90.00 degrees
Fractional positions:
La 0.200 0.200 0.599
La 0.800 0.800 0.401
Pr 0.502 0.255 0.996
Pr 0.498 0.745 0.004
Co 0.000 0.000 0.000
Ag 0.123 0.627 0.754
Ag 0.877 0.373 0.246

---

No. 2
The following is a PBE-GGA calculation of Ti4Pd4Au3 after structural relaxation, from the Alexandria database.

## Properties
space-group type: C2/m (12)
DFT formation energy: -0.4229 eV per atom
excess energy over the best structure of this formula in the dataset: 1.51 eV per formula unit
volume: 178.5 Å³/cell

Cell lengths 2.813, 4.464, 14.460 Å; angles 81.12, 84.38, 89.99 degrees
Fractional positions:
Ti 0.552 0.548 0.904
Ti 0.448 0.452 0.096
Ti 0.316 0.816 0.368
Ti 0.684 0.184 0.632
Pd 0.592 0.093 0.814
Pd 0.269 0.269 0.463
Pd 0.731 0.731 0.537
Pd 0.408 0.907 0.186
Au 0.139 0.640 0.721
Au 0.861 0.360 0.279
Au 0.000 0.000 0.000

---

No. 3
The following is a PBE-GGA calculation of AgPd after structural relaxation, from the Alexandria database.

## Properties
space-group type: Pmmn (59)
DFT formation energy: 0.1359 eV per atom
volume: 210.9 Å³/cell

Cell lengths 2.778, 6.960, 10.905 Å; angles 90.00, 90.00, 90.00 degrees
Fractional positions:
Ag 0.000 0.675 0.752
Ag 0.500 0.325 0.748
Ag 0.500 0.325 0.252
Ag 0.000 0.675 0.248
Ag 0.000 0.665 0.500
Ag 0.500 0.335 0.000
Pd 0.000 0.022 0.630
Pd 0.500 0.978 0.870
Pd 0.500 0.978 0.130
Pd 0.000 0.022 0.370
Pd 0.000 0.691 0.000
Pd 0.500 0.309 0.500

---

No. 4
The following is a PBE-GGA calculation of TiHg3Te after structural relaxation, from the Alexandria database.

## Properties
space-group type: Pm-3m (221)
excess energy over the best structure of this formula in the dataset: 0.00 eV per formula unit
formation energy without anion corrections: 0.514 eV/atom
volume: 154.8 Å³/cell

Cell lengths 5.369, 5.369, 5.369 Å; angles 90.00, 90.00, 90.00 degrees
Fractional positions:
Te 0.500 0.500 0.500
Hg 0.000 0.500 0.000
Hg 0.000 0.000 0.500
Hg 0.500 0.000 0.000
Ti 0.000 0.000 0.000

---

No. 5
The following is a PBE-GGA calculation of LiAcTbTm after structural relaxation, from the Alexandria database.

## Properties
space-group type: F-43m (216)
DFT formation energy: 0.1647 eV per atom
volume: 129.0 Å³/cell

Cell lengths 5.672, 5.672, 5.672 Å; angles 60.00, 60.00, 60.00 degrees
Fractional positions:
Ac 0.250 0.250 0.250
Tm 0.500 0.500 0.500
Tb 0.750 0.750 0.750
Li 0.000 0.000 0.000

---

No. 6
The following is a PBE-GGA calculation of BaFeSi2 after structural relaxation, from the Alexandria database.

## Properties
space-group type: P2/m (10)
formation energy without anion corrections: 0.000 eV/atom
volume: 93.0 Å³/cell

Cell lengths 4.126, 4.309, 5.442 Å; angles 74.02, 90.00, 90.00 degrees
Fractional positions:
Ba 0.500 0.250 0.250
Fe 0.500 0.750 0.750
Si 0.000 0.953 0.859
Si 0.000 0.547 0.641

---

No. 7
The following is a PBE-GGA calculation of Nd2ThTl after structural relaxation, from the Alexandria database.

## Properties
space-group type: R3m (160)
DFT formation energy: -0.0708 eV per atom
excess energy over the best structure of this formula in the dataset: 0.44 eV per formula unit
volume: 129.8 Å³/cell

Cell lengths 3.652, 3.652, 11.436 Å; angles 80.81, 80.81, 60.00 degrees
Fractional positions:
Nd 0.080 0.080 0.761
Nd 0.254 0.254 0.238
Th 0.500 0.500 0.500
Tl 0.667 0.667 0.000

---

No. 8
The following is a PBE-GGA calculation of NiAsSe2 after structural relaxation, from the Alexandria database.

## Properties
space-group type: Cmmm (65)
formation energy without anion corrections: 0.301 eV/atom
volume: 78.4 Å³/cell

Cell lengths 2.785, 2.785, 10.210 Å; angles 90.00, 90.00, 98.29 degrees
Fractional positions:
As 0.500 0.500 0.250
Ni 0.500 0.500 0.750
Se 0.000 0.000 0.922
Se 0.000 0.000 0.578

---

No. 9
The following is a PBE-GGA calculation of KLiAlGa2 after structural relaxation, from the Alexandria database.

## Properties
space-group type: P4/mmm (123)
DFT formation energy: 0.3660 eV per atom
volume: 153.8 Å³/cell

Cell lengths 5.017, 6.110, 5.017 Å; angles 90.00, 90.00, 90.00 degrees
Fractional positions:
K 0.000 0.500 0.000
Al 0.000 0.000 0.000
Ga 0.000 0.000 0.500
Ga 0.500 0.000 0.000
Li 0.500 0.500 0.500

---

No. 10
The following is a PBE-GGA calculation of ZnGeMo2 after structural relaxation, from the Alexandria database.

## Properties
space-group type: I-42d (122)
DFT formation energy: 0.4977 eV per atom
excess energy over the best structure of this formula in the dataset: 1.02 eV per formula unit
volume: 131.8 Å³/cell

Cell lengths 6.985, 6.985, 5.630 Å; angles 51.65, 51.65, 90.00 degrees
Fractional positions:
Zn 0.500 0.500 0.000
Zn 0.250 0.750 0.500
Mo 0.643 0.125 0.250
Mo 0.107 0.625 0.250
Mo 0.375 0.357 0.750
Mo 0.875 0.893 0.750
Ge 0.000 0.000 0.000
Ge 0.750 0.250 0.500

---

No. 11
The following is a PBE-GGA calculation of K2LiFe after structural relaxation, from the Alexandria database.

## Properties
space-group type: P4/mmm (123)
DFT formation energy: 0.8206 eV per atom
excess energy over the best structure of this formula in the dataset: 0.62 eV per formula unit
volume: 142.2 Å³/cell

Cell lengths 3.594, 3.594, 11.010 Å; angles 90.00, 90.00, 90.00 degrees
Fractional positions:
Fe 0.500 0.500 0.750
K 0.000 0.000 0.969
K 0.000 0.000 0.531
Li 0.500 0.500 0.250

---

No. 12
The following is a PBE-GGA calculation of VSnB3 after structural relaxation, from the Alexandria database.

## Properties
space-group type: Pm-3m (221)
DFT formation energy: 2.3709 eV per atom
excess energy over the best structure of this formula in the dataset: 6.04 eV per formula unit
volume: 86.1 Å³/cell

Cell lengths 4.416, 4.416, 4.416 Å; angles 90.00, 90.00, 90.00 degrees
Fractional positions:
B 0.000 0.500 0.000
B 0.000 0.000 0.500
B 0.500 0.000 0.000
Sn 0.000 0.000 0.000
V 0.500 0.500 0.500

---

No. 13
The following is a PBE-GGA calculation of Nb2CrRe after structural relaxation, from the Alexandria database.

## Properties
space-group type: I-42d (122)
DFT formation energy: 0.6844 eV per atom
volume: 134.7 Å³/cell

Cell lengths 7.061, 7.061, 5.677 Å; angles 51.54, 51.54, 90.00 degrees
Fractional positions:
Re 0.000 0.000 0.000
Re 0.750 0.250 0.500
Nb 0.615 0.125 0.250
Nb 0.135 0.625 0.250
Nb 0.375 0.385 0.750
Nb 0.875 0.865 0.750
Cr 0.500 0.500 0.000
Cr 0.250 0.750 0.500